Entry 1:
Entry from Alexandria via LeMat-Bulk: a geometry-optimized BaY4Pb3O12 structure (PBE).

Output
symmetry	Im-3
D(E_F)	9.188	states/eV per cell
energy relative to the elements, uncorrected	-4439	kJ/mol of formula units
calculated volume	318.06	Å³ per cell
crystal system	cubic
magnetic moment	1.9	μB per cell

Cell lengths 7.4480, 7.4480, 7.4480 Å; angles 109.47, 109.47, 109.47 degrees
Each line ends with the local moment (μB).
Atoms (fractional coordinates):
O: 0.8206 0.1263 0.3057  0.10
Ba: 0.0000 0.0000 0.0000  0.00
O: 0.1794 0.8737 0.6943  0.10
Pb: 0.0000 0.5000 0.5000  0.12
O: 0.3057 0.1794 0.4852  0.10
O: 0.8737 0.6943 0.1794  0.10
O: 0.1263 0.3057 0.8206  0.10
Y: 0.0000 0.0000 0.5000  0.01
O: 0.4852 0.3057 0.1794  0.10
O: 0.1794 0.4852 0.3057  0.10
O: 0.6943 0.1794 0.8737  0.10
Pb: 0.5000 0.0000 0.5000  0.12
Y: 0.5000 0.0000 0.0000  0.01
Y: 0.5000 0.5000 0.5000  0.01
O: 0.8206 0.5148 0.6943  0.10
O: 0.5148 0.6943 0.8206  0.10
O: 0.6943 0.8206 0.5148  0.10
O: 0.3057 0.8206 0.1263  0.10
Pb: 0.5000 0.5000 0.0000  0.12
Y: 0.0000 0.5000 0.0000  0.01


Entry 2:
Entry from Alexandria via LeMat-Bulk: a geometry-optimized MgH3Ir3 structure (PBE).

Output
symmetry	Amm2
D(E_F)	2.985	states/eV per cell
calculated volume	69.23	Å³ per cell
energy above the most stable polymorph in this dataset	0.022	eV/atom
crystal system	orthorhombic
magnetic moment	0.0	μB per cell

Cell lengths 4.0693, 4.0698, 4.1817 Å; angles 90.00, 90.00, 91.47 degrees
Atoms (fractional coordinates):
H: 0.1844 0.8352 0.2310
H: 0.5344 0.4850 0.4757
Ir: 0.7511 0.7898 0.2308
Ir: 0.7753 0.2436 0.7307
Ir: 0.2296 0.2682 0.2308
Mg: 0.2346 0.7835 0.7312
H: 0.5346 0.4850 0.9859


Entry 3:
Entry from Alexandria via LeMat-Bulk: a geometry-optimized K2CoSi structure (PBE).

Output
symmetry	C2/m
D(E_F)	2.325	states/eV per cell
energy relative to the elements, uncorrected	101	kJ/mol of formula units
calculated volume	107.42	Å³ per cell
crystal system	monoclinic
magnetic moment	0.1	μB per cell

Cell lengths 10.2088, 10.2088, 3.7233 Å; angles 79.56, 79.56, 16.35 degrees
Each line ends with the local moment (μB).
Atoms (fractional coordinates):
K: 0.8978 0.8978 0.1030  0.00
Co: 0.2500 0.2500 0.2500  0.15
Si: 0.7500 0.7500 0.7500  0.00
K: 0.6022 0.6022 0.3970  0.00


Entry 4:
Entry from Alexandria via LeMat-Bulk: a geometry-optimized AlC3O structure (PBE).

Output
symmetry	Pm-3m
D(E_F)	2.323	states/eV per cell
energy relative to the elements, uncorrected	1312	kJ/mol of formula units
calculated volume	46.70	Å³ per cell
energy above the most stable polymorph in this dataset	0.000	eV/atom
crystal system	cubic
magnetic moment	0.0	μB per cell

Cell lengths 3.6011, 3.6011, 3.6011 Å; angles 90.00, 90.00, 90.00 degrees
Atoms (fractional coordinates):
C: 0.0000 0.5000 0.0000
Al: 0.5000 0.5000 0.5000
O: 0.0000 0.0000 0.0000
C: 0.5000 0.0000 0.0000
C: 0.0000 0.0000 0.5000


Entry 5:
Entry from Alexandria via LeMat-Bulk: a geometry-optimized Y2CuBr structure (PBE).

Output
symmetry	Imm2
D(E_F)	1.883	states/eV per cell
energy relative to the elements, uncorrected	-207	kJ/mol of formula units
calculated volume	103.97	Å³ per cell
energy above the most stable polymorph in this dataset	0.096	eV/atom
crystal system	orthorhombic
magnetic moment	0.0	μB per cell

Cell lengths 8.1098, 8.1098, 8.1098 Å; angles 154.32, 153.22, 37.44 degrees
Atoms (fractional coordinates):
Br: 0.5480 0.5480 0.0000
Y: 0.7231 0.2231 0.5000
Y: 0.9321 0.9321 0.0000
Cu: 0.2968 0.7968 0.5000


Entry 6:
Entry from Alexandria via LeMat-Bulk: a geometry-optimized KInGaHg structure (PBE).

Output
symmetry	F-43m
D(E_F)	3.105	states/eV per cell
calculated volume	108.87	Å³ per cell
crystal system	cubic
magnetic moment	0.0	μB per cell
formation energy	-0.015	eV per atom

Cell lengths 5.3597, 5.3597, 5.3597 Å; angles 60.00, 60.00, 60.00 degrees
Atoms (fractional coordinates):
In: 0.5000 0.5000 0.5000
Hg: 0.7500 0.7500 0.7500
Ga: 0.2500 0.2500 0.2500
K: 0.0000 0.0000 0.0000


Repeat the third record exactly.
Entry from Alexandria via LeMat-Bulk: a geometry-optimized K2CoSi structure (PBE).

Output
symmetry	C2/m
D(E_F)	2.325	states/eV per cell
energy relative to the elements, uncorrected	101	kJ/mol of formula units
calculated volume	107.42	Å³ per cell
crystal system	monoclinic
magnetic moment	0.1	μB per cell

Cell lengths 10.2088, 10.2088, 3.7233 Å; angles 79.56, 79.56, 16.35 degrees
Each line ends with the local moment (μB).
Atoms (fractional coordinates):
K: 0.8978 0.8978 0.1030  0.00
Co: 0.2500 0.2500 0.2500  0.15
Si: 0.7500 0.7500 0.7500  0.00
K: 0.6022 0.6022 0.3970  0.00